Record 1
Computed, not measured: a relaxed GaSnTe2N crystal at the GGA-PBEsol level of DFT.

CIF file:
```
data_GaSnTe2N
_cell_length_a 5.889
_cell_length_b 5.889
_cell_length_c 3.840
_cell_angle_alpha 90.00
_cell_angle_beta 90.00
_cell_angle_gamma 90.00
_symmetry_space_group_name_H-M 'P 4/m m m'
_symmetry_Int_Tables_number 123
_symmetry_space_group_name_Hall '-P 4 2'
loop_
_atom_site_label
_atom_site_type_symbol
_atom_site_fract_x
_atom_site_fract_y
_atom_site_fract_z
Ga1 Ga 0.000 0.000 0.000
Sn1 Sn 0.500 0.500 0.500
Te1 Te 0.000 0.500 0.500
N1 N 0.500 0.500 0.000
```

Computed properties:
- Formation energy from raw total energies: 335 kJ/mol of formula units
- Crystal system: tetragonal



Record 2
Computed, not measured: a relaxed Sr3Ga3N5 crystal at the GGA-PBEsol level of DFT.

CIF file:
```
data_Sr3Ga3N5
_cell_length_a 5.931
_cell_length_b 7.160
_cell_length_c 8.653
_cell_angle_alpha 108.36
_cell_angle_beta 103.71
_cell_angle_gamma 95.17
_symmetry_space_group_name_H-M 'P -1'
_symmetry_Int_Tables_number 2
loop_
_symmetry_equiv_pos_as_xyz
'x,y,z'
'-x,-y,-z'
loop_
_atom_site_label
_atom_site_type_symbol
_atom_site_fract_x
_atom_site_fract_y
_atom_site_fract_z
Sr1 Sr 0.156 0.154 0.202
Sr2 Sr 0.168 0.363 0.873
Sr3 Sr 0.319 0.910 0.609
Ga1 Ga 0.210 0.454 0.567
Ga2 Ga 0.375 0.622 0.283
Ga3 Ga 0.408 0.816 0.973
N1 N 0.112 0.553 0.381
N2 N 0.241 0.724 0.109
N3 N 0.265 0.028 0.906
N4 N 0.342 0.212 0.526
N5 N 0.457 0.610 0.777
```

Computed properties:
- Formation energy from raw total energies: -774 kJ/mol of formula units
- Crystal system: triclinic



Record 3
Computed, not measured: a relaxed Sr6Ga5N crystal at the GGA-PBEsol level of DFT.

CIF file:
```
data_Sr6Ga5N
_cell_length_a 7.4772
_cell_length_b 7.4772
_cell_length_c 39.9266
_cell_angle_alpha 90.00
_cell_angle_beta 90.00
_cell_angle_gamma 120.00
_symmetry_space_group_name_H-M 'R -3 c'
_symmetry_Int_Tables_number 167
_symmetry_space_group_name_Hall '-R 3 2"c'
loop_
_atom_site_label
_atom_site_type_symbol
_atom_site_fract_x
_atom_site_fract_y
_atom_site_fract_z
Sr1 Sr 0.0116 0.4444 0.2027
Ga1 Ga 0.0000 0.0000 0.1948
Ga2 Ga 0.0000 0.2086 0.7500
N1 N 0.0000 0.0000 0.0000
```

Computed properties:
- Formation energy from raw total energies: -616 kJ/mol of formula units
- Crystal system: trigonal



Record 4
Computed, not measured: a relaxed SrTa2GaN crystal at the GGA-PBEsol level of DFT.

CIF file:
```
data_SrTa2GaN
_cell_length_a 4.215
_cell_length_b 4.215
_cell_length_c 5.003
_cell_angle_alpha 90.00
_cell_angle_beta 90.00
_cell_angle_gamma 90.00
_symmetry_space_group_name_H-M 'P 4/m m m'
_symmetry_Int_Tables_number 123
_symmetry_space_group_name_Hall '-P 4 2'
loop_
_atom_site_label
_atom_site_type_symbol
_atom_site_fract_x
_atom_site_fract_y
_atom_site_fract_z
Sr1 Sr 0.000 0.000 0.000
Ta1 Ta 0.000 0.500 0.500
Ga1 Ga 0.500 0.500 0.000
N1 N 0.000 0.000 0.500
```

Computed properties:
- Formation energy from raw total energies: -85 kJ/mol of formula units
- Crystal system: tetragonal



Record 5
Computed, not measured: a relaxed SrGaTeN2 crystal at the GGA-PBEsol level of DFT.

CIF file:
```
data_SrGaTeN2
_cell_length_a 4.742
_cell_length_b 4.742
_cell_length_c 6.473
_cell_angle_alpha 90.00
_cell_angle_beta 90.00
_cell_angle_gamma 90.00
_symmetry_space_group_name_H-M 'P 4/m m m'
_symmetry_Int_Tables_number 123
_symmetry_space_group_name_Hall '-P 4 2'
loop_
_atom_site_label
_atom_site_type_symbol
_atom_site_fract_x
_atom_site_fract_y
_atom_site_fract_z
Sr1 Sr 0.000 0.000 0.000
Ga1 Ga 0.500 0.500 0.500
Te1 Te 0.000 0.000 0.500
N1 N 0.000 0.500 0.000
```

Computed properties:
- Formation energy from raw total energies: 632 kJ/mol of formula units
- Crystal system: tetragonal



Record 6
Computed, not measured: a relaxed SrGaTeN2 crystal at the GGA-PBEsol level of DFT.

CIF file:
```
data_SrGaTeN2
_cell_length_a 4.284
_cell_length_b 4.284
_cell_length_c 5.419
_cell_angle_alpha 90.00
_cell_angle_beta 90.00
_cell_angle_gamma 90.00
_symmetry_space_group_name_H-M 'P 4/m m m'
_symmetry_Int_Tables_number 123
_symmetry_space_group_name_Hall '-P 4 2'
loop_
_atom_site_label
_atom_site_type_symbol
_atom_site_fract_x
_atom_site_fract_y
_atom_site_fract_z
Sr1 Sr 0.000 0.000 0.000
Ga1 Ga 0.500 0.500 0.500
Te1 Te 0.500 0.500 0.000
N1 N 0.000 0.500 0.500
```

Computed properties:
- Formation energy from raw total energies: 265 kJ/mol of formula units
- Crystal system: tetragonal



Record 7
Computed, not measured: a relaxed ZrTaGa2N crystal at the GGA-PBEsol level of DFT.

CIF file:
```
data_ZrTaGa2N
_cell_length_a 5.143
_cell_length_b 5.143
_cell_length_c 4.884
_cell_angle_alpha 90.00
_cell_angle_beta 90.00
_cell_angle_gamma 90.00
_symmetry_space_group_name_H-M 'P 4/m m m'
_symmetry_Int_Tables_number 123
_symmetry_space_group_name_Hall '-P 4 2'
loop_
_atom_site_label
_atom_site_type_symbol
_atom_site_fract_x
_atom_site_fract_y
_atom_site_fract_z
Zr1 Zr 0.000 0.000 0.000
Ta1 Ta 0.000 0.000 0.500
Ga1 Ga 0.000 0.500 0.000
N1 N 0.500 0.500 0.500
```

Computed properties:
- Formation energy from raw total energies: 1071 kJ/mol of formula units
- Crystal system: tetragonal



Record 8
Computed, not measured: a relaxed Ga2TcN2 crystal at the GGA-PBEsol level of DFT.

CIF file:
```
data_Ga2TcN2
_cell_length_a 3.837
_cell_length_b 3.837
_cell_length_c 7.835
_cell_angle_alpha 90.00
_cell_angle_beta 90.00
_cell_angle_gamma 90.00
_symmetry_space_group_name_H-M 'I 4/m m m'
_symmetry_Int_Tables_number 139
_symmetry_space_group_name_Hall '-I 4 2'
loop_
_atom_site_label
_atom_site_type_symbol
_atom_site_fract_x
_atom_site_fract_y
_atom_site_fract_z
Ga1 Ga 0.000 0.000 0.158
Tc1 Tc 0.000 0.000 0.500
N1 N 0.000 0.500 0.250
```

Computed properties:
- Formation energy from raw total energies: 437 kJ/mol of formula units
- Crystal system: tetragonal



Record 9
Computed, not measured: a relaxed GaTc2N crystal at the GGA-PBEsol level of DFT.

CIF file:
```
data_GaTc2N
_cell_length_a 5.760
_cell_length_b 5.760
_cell_length_c 5.760
_cell_angle_alpha 90.00
_cell_angle_beta 90.00
_cell_angle_gamma 90.00
_symmetry_space_group_name_H-M 'F m -3 m'
_symmetry_Int_Tables_number 225
_symmetry_space_group_name_Hall '-F 4 2 3'
loop_
_atom_site_label
_atom_site_type_symbol
_atom_site_fract_x
_atom_site_fract_y
_atom_site_fract_z
Ga1 Ga 0.000 0.000 0.000
Tc1 Tc 0.250 0.250 0.250
N1 N 0.000 0.000 0.500
```

Computed properties:
- Formation energy from raw total energies: 331 kJ/mol of formula units
- Crystal system: cubic



Record 10
Computed, not measured: a relaxed ZrGaTe2N crystal at the GGA-PBEsol level of DFT.

CIF file:
```
data_ZrGaTe2N
_cell_length_a 5.755
_cell_length_b 5.755
_cell_length_c 3.938
_cell_angle_alpha 90.00
_cell_angle_beta 90.00
_cell_angle_gamma 90.00
_symmetry_space_group_name_H-M 'P 4/m m m'
_symmetry_Int_Tables_number 123
_symmetry_space_group_name_Hall '-P 4 2'
loop_
_atom_site_label
_atom_site_type_symbol
_atom_site_fract_x
_atom_site_fract_y
_atom_site_fract_z
Zr1 Zr 0.000 0.000 0.000
Ga1 Ga 0.500 0.500 0.500
Te1 Te 0.000 0.500 0.000
N1 N 0.000 0.000 0.500
```

Computed properties:
- Formation energy from raw total energies: -20 kJ/mol of formula units
- Crystal system: tetragonal



Record 11
Computed, not measured: a relaxed TiGaN2 crystal at the GGA-PBEsol level of DFT.

CIF file:
```
data_TiGaN2
_cell_length_a 3.0492
_cell_length_b 3.0492
_cell_length_c 17.5116
_cell_angle_alpha 90.00
_cell_angle_beta 90.00
_cell_angle_gamma 120.00
_symmetry_space_group_name_H-M 'R -3 m'
_symmetry_Int_Tables_number 166
_symmetry_space_group_name_Hall '-R 3 2"'
loop_
_atom_site_label
_atom_site_type_symbol
_atom_site_fract_x
_atom_site_fract_y
_atom_site_fract_z
Ti1 Ti 0.0000 0.0000 0.0000
Ga1 Ga 0.0000 0.0000 0.5000
N1 N 0.0000 0.0000 0.3944
```

Computed properties:
- Formation energy from raw total energies: -282 kJ/mol of formula units
- Crystal system: trigonal



Record 12
Computed, not measured: a relaxed TlGaN3 crystal at the GGA-PBEsol level of DFT.

CIF file:
```
data_TlGaN3
_cell_length_a 3.991
_cell_length_b 3.991
_cell_length_c 3.991
_cell_angle_alpha 90.00
_cell_angle_beta 90.00
_cell_angle_gamma 90.00
_symmetry_space_group_name_H-M 'P m -3 m'
_symmetry_Int_Tables_number 221
_symmetry_space_group_name_Hall '-P 4 2 3'
loop_
_atom_site_label
_atom_site_type_symbol
_atom_site_fract_x
_atom_site_fract_y
_atom_site_fract_z
Tl1 Tl 0.000 0.000 0.000
Ga1 Ga 0.500 0.500 0.500
N1 N 0.000 0.500 0.500
```

Computed properties:
- Formation energy from raw total energies: 706 kJ/mol of formula units
- Crystal system: cubic



Record 13
Computed, not measured: a relaxed V3Ga2N crystal at the GGA-PBEsol level of DFT.

CIF file:
```
data_V3Ga2N
_cell_length_a 6.527
_cell_length_b 6.527
_cell_length_c 6.527
_cell_angle_alpha 90.00
_cell_angle_beta 90.00
_cell_angle_gamma 90.00
_symmetry_space_group_name_H-M 'P 41 3 2'
_symmetry_Int_Tables_number 213
_symmetry_space_group_name_Hall 'P 4bd 2ab 3'
loop_
_atom_site_label
_atom_site_type_symbol
_atom_site_fract_x
_atom_site_fract_y
_atom_site_fract_z
V1 V 0.043 0.125 0.793
Ga1 Ga 0.069 0.931 0.431
N1 N 0.125 0.375 0.625
```

Computed properties:
- Formation energy from raw total energies: -414 kJ/mol of formula units
- Crystal system: cubic



Record 14
Computed, not measured: a relaxed YGaN2 crystal at the GGA-PBEsol level of DFT.

CIF file:
```
data_YGaN2
_cell_length_a 5.456
_cell_length_b 5.456
_cell_length_c 6.982
_cell_angle_alpha 90.00
_cell_angle_beta 90.00
_cell_angle_gamma 90.00
_symmetry_space_group_name_H-M 'I -4 2 d'
_symmetry_Int_Tables_number 122
_symmetry_space_group_name_Hall 'I -4 2bw'
loop_
_atom_site_label
_atom_site_type_symbol
_atom_site_fract_x
_atom_site_fract_y
_atom_site_fract_z
Y1 Y 0.000 0.000 0.000
Ga1 Ga 0.000 0.000 0.500
N1 N 0.202 0.250 0.625
```

Computed properties:
- Formation energy from raw total energies: -393 kJ/mol of formula units
- Crystal system: tetragonal



Record 15
Computed, not measured: a relaxed NaGa4 crystal at the GGA-PBEsol level of DFT.

CIF file:
```
data_NaGa4
_cell_length_a 4.175
_cell_length_b 4.175
_cell_length_c 11.139
_cell_angle_alpha 90.00
_cell_angle_beta 90.00
_cell_angle_gamma 90.00
_symmetry_space_group_name_H-M 'I 4/m m m'
_symmetry_Int_Tables_number 139
_symmetry_space_group_name_Hall '-I 4 2'
loop_
_atom_site_label
_atom_site_type_symbol
_atom_site_fract_x
_atom_site_fract_y
_atom_site_fract_z
Na1 Na 0.000 0.000 0.000
Ga1 Ga 0.000 0.000 0.390
Ga2 Ga 0.000 0.500 0.250
```

Computed properties:
- Energy of formation: -0.16 eV per atom
- Crystal system: tetragonal



Record 16
Computed, not measured: a relaxed NaGa2Ni2 crystal at the GGA-PBEsol level of DFT.

CIF file:
```
data_NaGa2Ni2
_cell_length_a 7.252
_cell_length_b 7.252
_cell_length_c 2.609
_cell_angle_alpha 90.00
_cell_angle_beta 90.00
_cell_angle_gamma 90.00
_symmetry_space_group_name_H-M 'P 4/m b m'
_symmetry_Int_Tables_number 127
_symmetry_space_group_name_Hall '-P 4 2ab'
loop_
_atom_site_label
_atom_site_type_symbol
_atom_site_fract_x
_atom_site_fract_y
_atom_site_fract_z
Na1 Na 0.000 0.000 0.000
Ga1 Ga 0.142 0.358 0.000
Ni1 Ni 0.152 0.652 0.500
```

Computed properties:
- Energy of formation: -0.26 eV per atom
- Crystal system: tetragonal



Record 17
Computed, not measured: a relaxed NaGaNi3 crystal at the GGA-PBEsol level of DFT.

CIF file:
```
data_NaGaNi3
_cell_length_a 4.369
_cell_length_b 4.369
_cell_length_c 4.369
_cell_angle_alpha 90.00
_cell_angle_beta 90.00
_cell_angle_gamma 90.00
_symmetry_space_group_name_H-M 'P m -3 m'
_symmetry_Int_Tables_number 221
_symmetry_space_group_name_Hall '-P 4 2 3'
loop_
_atom_site_label
_atom_site_type_symbol
_atom_site_fract_x
_atom_site_fract_y
_atom_site_fract_z
Na1 Na 0.000 0.000 0.000
Ga1 Ga 0.500 0.500 0.500
Ni1 Ni 0.000 0.500 0.500
```

Computed properties:
- Energy of formation: 0.63 eV per atom
- Crystal system: cubic



Record 18
Computed, not measured: a relaxed Na2GaNiTe crystal at the GGA-PBEsol level of DFT.

CIF file:
```
data_Na2GaNiTe
_cell_length_a 5.185
_cell_length_b 5.185
_cell_length_c 4.475
_cell_angle_alpha 90.00
_cell_angle_beta 90.00
_cell_angle_gamma 90.00
_symmetry_space_group_name_H-M 'P 4/m m m'
_symmetry_Int_Tables_number 123
_symmetry_space_group_name_Hall '-P 4 2'
loop_
_atom_site_label
_atom_site_type_symbol
_atom_site_fract_x
_atom_site_fract_y
_atom_site_fract_z
Na1 Na 0.000 0.500 0.000
Ga1 Ga 0.000 0.000 0.500
Ni1 Ni 0.000 0.000 0.000
Te1 Te 0.500 0.500 0.500
```

Computed properties:
- Formation energy from raw total energies: 25 kJ/mol of formula units
- Crystal system: tetragonal



Record 19
Computed, not measured: a relaxed NaGaO2 crystal at the GGA-PBEsol level of DFT.

CIF file:
```
data_NaGaO2
_cell_length_a 5.529
_cell_length_b 7.201
_cell_length_c 5.303
_cell_angle_alpha 90.00
_cell_angle_beta 90.00
_cell_angle_gamma 90.00
_symmetry_space_group_name_H-M 'P n a 21'
_symmetry_Int_Tables_number 33
loop_
_symmetry_equiv_pos_as_xyz
'x,y,z'
'-x,-y,z+1/2'
'-x+1/2,y+1/2,z+1/2'
'x+1/2,-y+1/2,z'
loop_
_atom_site_label
_atom_site_type_symbol
_atom_site_fract_x
_atom_site_fract_y
_atom_site_fract_z
Na1 Na 0.068 0.122 0.000
Ga1 Ga 0.063 0.626 0.985
O1 O 0.040 0.589 0.640
O2 O 0.113 0.163 0.566
```

Computed properties:
- Formation energy from raw total energies: -725 kJ/mol of formula units
- Crystal system: orthorhombic



Record 20
Computed, not measured: a relaxed NaGaO2 crystal at the GGA-PBEsol level of DFT.

CIF file:
```
data_NaGaO2
_cell_length_a 5.300
_cell_length_b 10.583
_cell_length_c 14.855
_cell_angle_alpha 90.00
_cell_angle_beta 90.00
_cell_angle_gamma 90.00
_symmetry_space_group_name_H-M 'P b c a'
_symmetry_Int_Tables_number 61
loop_
_symmetry_equiv_pos_as_xyz
'x,y,z'
'-x,-y,-z'
'-x+1/2,-y,z+1/2'
'x+1/2,y,-z+1/2'
'x+1/2,-y+1/2,-z'
'-x+1/2,y+1/2,z'
'-x,y+1/2,-z+1/2'
'x,-y+1/2,z+1/2'
loop_
_atom_site_label
_atom_site_type_symbol
_atom_site_fract_x
_atom_site_fract_y
_atom_site_fract_z
Na1 Na 0.184 0.227 0.190
Na2 Na 0.222 0.015 0.063
Ga1 Ga 0.192 0.223 0.438
Ga2 Ga 0.198 0.524 0.813
O1 O 0.135 0.522 0.209
O2 O 0.155 0.729 0.044
O3 O 0.208 0.556 0.418
O4 O 0.227 0.696 0.832
```

Computed properties:
- Formation energy from raw total energies: -722 kJ/mol of formula units
- Crystal system: orthorhombic